Here is crystalline ZrH2I3 at its relaxed geometry from the Alexandria database. Energies are from GGA-PBE.

The structure in POSCAR format:
```
ZrH2I3
1.0
8.536 0.000 0.000
-4.268 7.393 0.000
0.000 0.000 6.556
I H Zr
6 4 2
direct
0.164 0.328 0.250
0.164 0.836 0.250
0.836 0.672 0.750
0.328 0.164 0.750
0.672 0.836 0.250
0.836 0.164 0.750
0.667 0.333 0.193
0.333 0.667 0.693
0.333 0.667 0.807
0.667 0.333 0.307
0.000 0.000 0.500
0.000 0.000 0.000
```


Here is crystalline Zr2H2I7 at its relaxed geometry from the Alexandria database. Energies are from GGA-PBE.

The structure in POSCAR format:
```
Zr2H2I7
1.0
-3.994 1.885 -6.206
-4.382 -5.652 -2.037
-6.460 3.114 1.968
H I Zr
2 7 2
direct
0.500 0.245 0.754
0.500 0.755 0.246
0.744 0.576 0.577
0.256 0.424 0.423
0.728 0.569 0.076
0.272 0.924 0.432
0.272 0.431 0.924
0.000 0.000 0.000
0.728 0.076 0.568
0.998 0.717 0.717
0.002 0.283 0.283
```


Here is crystalline ZrH2I6 at its relaxed geometry from the Alexandria database. Energies are from GGA-PBE.

The structure in POSCAR format:
```
ZrH2I6
1.0
7.096 -0.089 0.452
0.445 10.387 1.476
-0.259 0.012 10.498
I H Zr
12 4 2
direct
0.146 0.455 0.271
0.385 0.342 0.884
0.592 0.965 0.830
0.646 0.271 0.455
0.854 0.545 0.729
0.615 0.658 0.116
0.885 0.884 0.342
0.908 0.170 0.035
0.408 0.035 0.170
0.354 0.729 0.545
0.115 0.116 0.658
0.092 0.830 0.965
0.957 0.384 0.339
0.543 0.661 0.616
0.457 0.339 0.384
0.043 0.616 0.661
0.250 0.099 0.901
0.750 0.901 0.099
```


Here is crystalline Zr2HI at its relaxed geometry from the Alexandria database. Energies are from GGA-PBE.

- ΔE to the lowest computed polymorph: 1.50 eV/f.u.

The structure in POSCAR format:
```
Zr2HI
1.0
0.000 3.373 3.373
3.373 0.000 3.373
3.373 3.373 0.000
H Zr I
1 2 1
direct
0.000 0.000 0.000
0.250 0.250 0.250
0.750 0.750 0.750
0.500 0.500 0.500
```


Here is crystalline Zr2H2I at its relaxed geometry from the Alexandria database. Energies are from GGA-PBE.

The structure in POSCAR format:
```
Zr2H2I
1.0
3.422 0.000 0.000
0.000 3.422 0.000
1.711 1.711 6.373
Zr H I
2 2 1
direct
0.651 0.651 0.698
0.349 0.349 0.302
0.750 0.250 0.500
0.250 0.750 0.500
0.000 0.000 0.000
```


Here is crystalline Zr2HI2 at its relaxed geometry from the Alexandria database. Energies are from GGA-PBE.

The structure in POSCAR format:
```
Zr2HI2
1.0
8.112 0.000 0.000
0.000 8.112 0.000
0.000 0.000 3.555
I Zr H
4 4 2
direct
0.855 0.645 0.000
0.645 0.145 0.000
0.145 0.355 0.000
0.355 0.855 0.000
0.848 0.348 0.500
0.652 0.848 0.500
0.348 0.152 0.500
0.152 0.652 0.500
0.500 0.500 0.000
0.000 0.000 0.000
```


Here is crystalline ZrH2I2 at its relaxed geometry from the Alexandria database. Energies are from GGA-PBE.

- ΔE to the lowest computed polymorph: 0.00 eV/f.u.

The structure in POSCAR format:
```
ZrH2I2
1.0
5.232 0.000 0.000
0.000 5.232 0.000
2.616 2.616 3.679
H I Zr
2 2 1
direct
0.551 0.551 0.897
0.449 0.449 0.103
0.250 0.750 0.500
0.750 0.250 0.500
0.000 0.000 0.000
```


Here is crystalline ZrH2I8 at its relaxed geometry from the Alexandria database. Energies are from GGA-PBE.

The structure in POSCAR format:
```
ZrH2I8
1.0
0.734 7.216 1.665
-8.168 -0.802 -0.273
0.933 -3.492 7.373
H I Zr
2 8 1
direct
0.673 0.707 0.707
0.327 0.293 0.293
0.275 0.269 0.944
0.717 0.566 0.566
0.124 0.768 0.768
0.876 0.232 0.232
0.725 0.056 0.731
0.275 0.944 0.269
0.283 0.434 0.434
0.725 0.731 0.056
0.000 0.000 0.000
```


Here is crystalline ZrH3I at its relaxed geometry from the Alexandria database. Energies are from GGA-PBE.

- ΔE to the lowest computed polymorph: 0.00 eV/f.u.

The structure in POSCAR format:
```
ZrH3I
1.0
4.040 0.000 0.000
0.000 4.040 0.000
0.000 0.000 4.040
H Zr I
3 1 1
direct
0.000 0.500 0.000
0.500 0.000 0.000
0.000 0.000 0.500
0.000 0.000 0.000
0.500 0.500 0.500
```


Here is crystalline Zr2HI at its relaxed geometry from the Alexandria database. Energies are from GGA-PBE.

- ΔE to the lowest computed polymorph: 0.00 eV/f.u.

The structure in POSCAR format:
```
Zr2HI
1.0
-1.611 1.996 4.865
1.379 -4.749 2.406
5.055 0.585 4.542
Zr H I
4 2 2
direct
0.875 0.726 0.750
0.274 0.625 0.250
0.476 0.125 0.250
0.375 0.524 0.750
0.500 0.500 0.000
0.250 0.750 0.500
0.000 0.000 0.000
0.750 0.250 0.500
```


Here is crystalline Zr3HI7 at its relaxed geometry from the Alexandria database. Energies are from GGA-PBE.

The structure in POSCAR format:
```
Zr3HI7
1.0
-3.913 4.385 -4.602
-0.621 -5.946 -5.136
-5.477 0.973 5.583
I Zr H
7 3 1
direct
0.024 0.165 0.329
0.024 0.671 0.835
0.548 0.836 0.672
0.973 0.667 0.333
0.024 0.165 0.835
0.548 0.328 0.164
0.548 0.836 0.164
0.766 0.470 0.530
0.766 0.470 0.940
0.766 0.060 0.530
0.630 0.333 0.667
```


Here is crystalline In5H4 at its relaxed geometry from the Alexandria database. Energies are from GGA-PBE.

The structure in POSCAR format:
```
In5H4
1.0
4.723 0.000 1.085
2.362 6.106 0.542
0.995 0.000 6.494
In H
5 4
direct
0.679 0.000 0.643
0.679 0.643 0.000
0.321 0.357 0.000
0.000 0.000 0.000
0.321 0.000 0.357
0.456 0.544 0.544
0.000 0.544 0.456
0.544 0.456 0.456
0.000 0.456 0.544
```


Here is crystalline InH at its relaxed geometry from the Alexandria database. Energies are from GGA-PBE.

- ΔE to the lowest computed polymorph: 0.48 eV/f.u.

The structure in POSCAR format:
```
InH
1.0
-2.346 -8.088 3.978
-2.355 -3.418 -8.338
3.009 -1.074 -0.410
H In
8 8
direct
0.891 0.597 0.000
0.388 0.670 0.500
0.109 0.403 0.000
0.597 0.109 0.000
0.330 0.388 0.500
0.403 0.891 0.000
0.612 0.330 0.500
0.670 0.612 0.500
0.208 0.550 0.500
0.792 0.450 0.500
0.550 0.792 0.500
0.990 0.233 0.000
0.450 0.208 0.500
0.233 0.010 0.000
0.767 0.990 0.000
0.010 0.767 0.000
```


Here is crystalline InH at its relaxed geometry from the Alexandria database. Energies are from GGA-PBE.

- ΔE to the lowest computed polymorph: 0.09 eV/f.u.

The structure in POSCAR format:
```
InH
1.0
-2.030 -2.037 1.232
2.157 -3.671 -2.536
2.739 2.134 4.084
In H
2 2
direct
0.843 0.498 0.950
0.185 0.843 0.638
0.517 0.248 0.294
0.514 0.094 0.294
```


Here is crystalline InH at its relaxed geometry from the Alexandria database. Energies are from GGA-PBE.

- ΔE to the lowest computed polymorph: 0.36 eV/f.u.

The structure in POSCAR format:
```
InH
1.0
-5.076 5.863 0.268
-2.490 -1.959 -4.320
-4.844 -4.413 4.794
H In
8 8
direct
0.909 0.750 0.398
0.576 0.750 0.382
0.424 0.250 0.618
0.924 0.250 0.882
0.076 0.750 0.118
0.091 0.250 0.602
0.409 0.750 0.102
0.591 0.250 0.898
0.182 0.250 0.830
0.765 0.250 0.067
0.318 0.750 0.330
0.235 0.750 0.933
0.735 0.750 0.567
0.818 0.750 0.170
0.682 0.250 0.670
0.265 0.250 0.433
```


Here is crystalline InH at its relaxed geometry from the Alexandria database. Energies are from GGA-PBE.

- ΔE to the lowest computed polymorph: 0.79 eV/f.u.

The structure in POSCAR format:
```
InH
1.0
-0.361 2.302 -5.845
-4.601 -4.083 -1.324
-2.430 2.385 1.089
H In
4 4
direct
0.851 0.851 0.500
0.649 0.351 0.000
0.351 0.649 0.000
0.149 0.149 0.500
0.204 0.796 0.500
0.704 0.704 0.000
0.296 0.296 0.000
0.796 0.204 0.500
```


Here is crystalline In2H at its relaxed geometry from the Alexandria database. Energies are from GGA-PBE.

The structure in POSCAR format:
```
In2H
1.0
6.026 -0.898 0.320
-0.949 5.563 -1.981
0.475 -1.339 5.041
In H
4 2
direct
0.751 0.980 0.447
0.751 0.533 0.553
0.249 0.467 0.447
0.249 0.020 0.553
0.752 0.754 0.000
0.248 0.246 0.000
```


Here is crystalline InH at its relaxed geometry from the Alexandria database. Energies are from GGA-PBE.

- ΔE to the lowest computed polymorph: 0.82 eV/f.u.

The structure in POSCAR format:
```
InH
1.0
5.008 0.000 0.000
0.000 5.008 0.000
0.000 0.000 5.008
H In
4 4
direct
0.500 0.000 0.500
0.000 0.500 0.500
0.000 0.000 0.000
0.500 0.500 0.000
0.500 0.500 0.500
0.500 0.000 0.000
0.000 0.000 0.500
0.000 0.500 0.000
```


Here is crystalline InH at its relaxed geometry from the Alexandria database. Energies are from GGA-PBE.

- ΔE to the lowest computed polymorph: 0.99 eV/f.u.

The structure in POSCAR format:
```
InH
1.0
6.360 0.000 0.000
0.000 6.360 0.000
0.000 0.000 6.360
H In
6 6
direct
0.250 0.500 0.000
0.500 0.000 0.250
0.000 0.250 0.500
0.000 0.750 0.500
0.500 0.000 0.750
0.750 0.500 0.000
0.500 0.750 0.000
0.250 0.000 0.500
0.500 0.250 0.000
0.000 0.500 0.750
0.000 0.500 0.250
0.750 0.000 0.500
```


Here is crystalline InH at its relaxed geometry from the Alexandria database. Energies are from GGA-PBE.

- ΔE to the lowest computed polymorph: 0.43 eV/f.u.

The structure in POSCAR format:
```
InH
1.0
-4.109 1.795 -8.072
4.793 -7.815 1.104
-2.426 -1.356 0.934
H In
6 6
direct
0.133 0.567 0.750
0.867 0.433 0.250
0.433 0.867 0.750
0.567 0.133 0.250
0.567 0.433 0.250
0.433 0.567 0.750
0.198 0.396 0.750
0.396 0.198 0.250
0.802 0.604 0.250
0.604 0.802 0.750
0.802 0.198 0.250
0.198 0.802 0.750
```


Here is crystalline InH at its relaxed geometry from the Alexandria database. Energies are from GGA-PBE.

- ΔE to the lowest computed polymorph: 0.96 eV/f.u.

The structure in POSCAR format:
```
InH
1.0
-3.833 -2.882 4.858
3.173 -5.956 -1.030
4.673 1.679 4.684
H In
8 8
direct
0.868 0.132 0.868
0.368 0.368 0.632
0.132 0.132 0.132
0.132 0.868 0.868
0.368 0.632 0.368
0.868 0.868 0.132
0.632 0.632 0.632
0.632 0.368 0.368
0.185 0.185 0.815
0.685 0.315 0.685
0.315 0.315 0.315
0.815 0.815 0.815
0.685 0.685 0.315
0.315 0.685 0.685
0.815 0.185 0.185
0.185 0.815 0.185
```


Here is crystalline InH at its relaxed geometry from the Alexandria database. Energies are from GGA-PBE.

- ΔE to the lowest computed polymorph: 0.36 eV/f.u.

The structure in POSCAR format:
```
InH
1.0
4.775 0.236 0.806
2.726 4.624 0.377
2.121 1.553 4.088
In H
2 2
direct
0.537 0.186 0.091
0.463 0.814 0.909
0.845 0.898 0.360
0.155 0.102 0.640
```


Number 1: volume 206.88 Å³/f.u., energy -3.956 eV per atom, total moment 0.00 μB/f.u.. Number 2: volume 371.43 Å³/f.u., energy -3.447 eV per atom, total moment 3.01 μB/f.u.. Number 3: volume 387.68 Å³/f.u., energy -3.219 eV per atom, total moment 0.00 μB/f.u.. Number 4: volume 76.76 Å³/f.u., energy -5.052 eV per atom, total moment 0.00 μB/f.u.. Number 5: volume 74.64 Å³/f.u., energy -5.333 eV per atom, total moment 0.00 μB/f.u.. Number 6: volume 116.99 Å³/f.u., energy -4.225 eV per atom, total moment 0.00 μB/f.u.. Number 7: volume 100.73 Å³/f.u., energy -3.848 eV per atom, total moment 2.00 μB/f.u.. Number 8: volume 476.46 Å³/f.u., energy -2.797 eV per atom, total moment 0.00 μB/f.u.. Number 9: volume 65.96 Å³/f.u., energy -4.014 eV per atom, total moment 0.00 μB/f.u.. Number 10: volume 84.74 Å³/f.u., energy -5.427 eV per atom, total moment 0.00 μB/f.u.. Number 11: volume 401.56 Å³/f.u., energy -4.372 eV per atom, total moment 2.02 μB/f.u.. Number 12: volume 180.69 Å³/f.u., energy -2.860 eV per atom, total moment 0.00 μB/f.u.. Number 13: volume 34.93 Å³/f.u., energy -2.734 eV per atom, total moment 0.00 μB/f.u.. Number 14: volume 34.79 Å³/f.u., energy -2.927 eV per atom, total moment 0.00 μB/f.u.. Number 15: volume 42.20 Å³/f.u., energy -2.792 eV per atom, total moment 0.00 μB/f.u.. Number 16: volume 35.39 Å³/f.u., energy -2.577 eV per atom, total moment 0.00 μB/f.u.. Number 17: volume 74.56 Å³/f.u., energy -2.751 eV per atom, total moment 0.00 μB/f.u.. Number 18: volume 31.39 Å³/f.u., energy -2.560 eV per atom, total moment 0.00 μB/f.u.. Number 19: volume 42.88 Å³/f.u., energy -2.477 eV per atom, total moment 0.00 μB/f.u.. Number 20: volume 36.08 Å³/f.u., energy -2.757 eV per atom, total moment 0.00 μB/f.u.. Number 21: volume 39.76 Å³/f.u., energy -2.491 eV per atom, total moment 0.00 μB/f.u.. Number 22: volume 40.26 Å³/f.u., energy -2.789 eV per atom, total moment 0.00 μB/f.u..